Below is an optimized crystal structure of PrHoPu2Sb4, with properties calculated at the PBE level.

abc: 7.6844 4.4509 7.7062
angles: 90.00 109.53 90.00
With the nearest neighbours (Å) after each atom.
Atoms (fractional coordinates):
Pr 0.0000 0.0000 0.0000  6 Sb 3.19
Ho 0.0000 0.5000 0.5000  6 Sb 3.13-3.14
Pu 0.5000 0.0000 0.5000  6 Sb 3.10
Pu 0.5000 0.5000 0.0000  6 Sb 3.15
Sb 0.2524 0.0000 0.7449  3 Pu 3.10-3.15, 2 Ho 3.14, 1 Pr 3.19
Sb 0.2568 0.5000 0.2582  3 Pu 3.10-3.15, 1 Ho 3.13, 2 Pr 3.19
Sb 0.7432 0.5000 0.7418  3 Pu 3.10-3.15, 1 Ho 3.13, 2 Pr 3.19
Sb 0.7476 0.0000 0.2551  3 Pu 3.10-3.15, 2 Ho 3.14, 1 Pr 3.19

Results
As for the mass density: 8.563 Mg/m³. Its formation energy from raw total energies is -0.86 eV per atom. As for the density of states at the Fermi level: 28.18 states/eV/cell. For the total energy, the calculation gives -7.68 eV/atom.

Below is an optimized crystal structure of Pm12Nd7Pb, with properties calculated at the PBE level.

abc: 8.9358 8.9358 8.9358
angles: 89.04 89.04 89.04
With the nearest neighbours (Å) after each atom.
Atoms (fractional coordinates):
Pm 0.0044 0.8851 0.3377  1 Pb 3.17, 3 Nd 3.33-3.55, 1 Pm 3.55
Pm 0.1149 0.6623 0.9956  1 Pb 3.17, 3 Nd 3.33-3.55, 1 Pm 3.55
Pm 0.1223 0.4630 0.3428  6 Pm 3.55-3.91, 5 Nd 3.65-3.82
Pm 0.3377 0.0044 0.8851  1 Pb 3.17, 3 Nd 3.33-3.55, 1 Pm 3.55
Pm 0.3428 0.1223 0.4630  6 Pm 3.55-3.91, 5 Nd 3.65-3.82
Pm 0.4630 0.3428 0.1223  6 Pm 3.55-3.91, 5 Nd 3.65-3.82
Pm 0.5370 0.6572 0.8777  6 Pm 3.55-3.91, 5 Nd 3.65-3.82
Pm 0.6572 0.8777 0.5370  6 Pm 3.55-3.91, 5 Nd 3.65-3.82
Pm 0.6623 0.9956 0.1149  1 Pb 3.17, 3 Nd 3.33-3.55, 1 Pm 3.55
Pm 0.8777 0.5370 0.6572  6 Pm 3.55-3.91, 5 Nd 3.65-3.82
Pm 0.8851 0.3377 0.0044  1 Pb 3.17, 3 Nd 3.33-3.55, 1 Pm 3.55
Pm 0.9956 0.1149 0.6623  1 Pb 3.17, 3 Nd 3.33-3.55, 1 Pm 3.55
Nd 0.2132 0.7629 0.6215  6 Pm 3.33-3.69, 3 Nd 3.61-3.72
Nd 0.2371 0.3785 0.7868  6 Pm 3.33-3.69, 3 Nd 3.61-3.72
Nd 0.3785 0.7868 0.2371  6 Pm 3.33-3.69, 3 Nd 3.61-3.72
Nd 0.5000 0.5000 0.5000  6 Nd 3.61, 6 Pm 3.70
Nd 0.6215 0.2132 0.7629  6 Pm 3.33-3.69, 3 Nd 3.61-3.72
Nd 0.7629 0.6215 0.2132  6 Pm 3.33-3.69, 3 Nd 3.61-3.72
Nd 0.7868 0.2371 0.3785  6 Pm 3.33-3.69, 3 Nd 3.61-3.72
Pb 0.0000 0.0000 0.0000  6 Pm 3.17

Results
As for the mass density: 6.884 Mg/m³. Its formation energy from the elements is 0.1497 eV per atom. As for the density of states at the Fermi level: 38.05 states/eV/cell. For the total energy, the calculation gives -4.55 eV/atom.

Below is an optimized crystal structure of LiAc2TbS5, with properties calculated at the PBE level.

abc: 8.7588 8.7588 12.2701
angles: 90.00 90.00 152.60
With the nearest neighbours (Å) after each atom.
Atoms (fractional coordinates):
Li 0.0178 0.9822 0.5000  3 S 2.36-2.41
Li 0.9822 0.0178 0.0000  3 S 2.36-2.41
Ac 0.3750 0.6250 0.3216  8 S 2.98-3.21
Ac 0.3904 0.6096 0.7064  8 S 3.03-3.24
Ac 0.6096 0.3904 0.2064  8 S 3.03-3.24
Ac 0.6250 0.3750 0.8216  8 S 2.98-3.21
Tb 0.3029 0.6971 0.0240  6 S 2.65-2.80
Tb 0.6971 0.3029 0.5240  6 S 2.65-2.80
S 0.0006 0.9994 0.3049  1 Li 2.41
S 0.1393 0.8607 0.0207  1 Li 2.69, 1 Tb 2.78
S 0.1935 0.8065 0.3731  2 Tb 2.78
S 0.2112 0.7889 0.6767  2 Tb 2.80, 3 Ac 3.07-3.10
S 0.4527 0.5473 0.0828  2 Li 2.36
S 0.5473 0.4527 0.5828  2 Li 2.36
S 0.7889 0.2112 0.1767  2 Tb 2.80, 3 Ac 3.07-3.10
S 0.8065 0.1935 0.8731  2 Tb 2.78
S 0.8607 0.1393 0.5207  1 Li 2.69, 1 Tb 2.78
S 0.9994 0.0006 0.8049  1 Li 2.41

Results
As for the mass density: 5.982 Mg/m³. Its formation energy from raw total energies is -2.02 eV per atom. For the total energy, the calculation gives -5.95 eV/atom.

Below is an optimized crystal structure of Al3NiN, with properties calculated at the PBE level.

abc: 4.4160 4.4160 4.4160
angles: 90.00 90.00 90.00
With the nearest neighbours (Å) after each atom.
Atoms (fractional coordinates):
Al 0.0000 0.0000 0.5000  2 Ni 2.21
Al 0.0000 0.5000 0.0000  2 Ni 2.21
Al 0.5000 0.0000 0.0000  2 Ni 2.21
Ni 0.0000 0.0000 0.0000  6 Al 2.21
N 0.5000 0.5000 0.5000  12 Al 3.12

Results
As for the mass density: 2.963 Mg/m³. Its formation energy from raw total energies is 0.72 eV per atom. As for the density of states at the Fermi level: 1.81 states/eV/cell. For the energy above the most stable polymorph in this dataset, the calculation gives 922.4 meV per atom. For the total energy, the calculation gives -4.35 eV/atom.

Below is an optimized crystal structure of Tl3Ni2AgCl9, with properties calculated at the PBE level.

abc: 6.9540 6.9540 8.5954
angles: 90.00 90.00 120.00
With the nearest neighbours (Å) after each atom.
Atoms (fractional coordinates):
Tl 0.0000 0.0000 0.0000  12 Cl 3.45-3.48
Tl 0.3333 0.6667 0.6716  12 Cl 3.46-3.59
Tl 0.6667 0.3333 0.3284  12 Cl 3.46-3.59
Ni 0.3333 0.6667 0.1626  6 Cl 2.32-2.45
Ni 0.6667 0.3333 0.8374  6 Cl 2.32-2.45
Ag 0.0000 0.0000 0.5000  6 Cl 2.63
Cl 0.0000 0.5000 0.0000  2 Ni 2.45
Cl 0.1755 0.3510 0.3173  1 Ni 2.32
Cl 0.1755 0.8245 0.3173  1 Ni 2.32
Cl 0.3510 0.1755 0.6827  1 Ni 2.32
Cl 0.5000 0.0000 0.0000  2 Ni 2.45
Cl 0.5000 0.5000 0.0000  2 Ni 2.45
Cl 0.6490 0.8245 0.3173  1 Ni 2.32
Cl 0.8245 0.1755 0.6827  1 Ni 2.32
Cl 0.8245 0.6490 0.6827  1 Ni 2.32

Results
As for the mass density: 5.339 Mg/m³. Its formation energy from raw total energies is -0.69 eV per atom. As for the density of states at the Fermi level: 3.67 states/eV/cell. For the total energy, the calculation gives -3.23 eV/atom.

Below is an optimized crystal structure of Ba2Y3S6, with properties calculated at the PBE level.

abc: 6.9988 6.9988 7.6484
angles: 98.73 98.73 119.96
With the nearest neighbours (Å) after each atom.
Atoms (fractional coordinates):
Ba 0.1673 0.8327 0.0000  6 S 3.15
Ba 0.8327 0.1673 0.0000  6 S 3.15
Y 0.0000 0.0000 0.5000  6 S 2.78-2.79
Y 0.3352 0.6648 0.5000  6 S 2.78-2.79
Y 0.6648 0.3352 0.5000  6 S 2.78-2.79
S 0.0669 0.4022 0.7075  3 Y 2.79
S 0.2617 0.2617 0.2902  3 Y 2.78
S 0.4022 0.0669 0.7075  3 Y 2.79
S 0.5978 0.9331 0.2925  3 Y 2.79
S 0.7383 0.7383 0.7098  3 Y 2.78
S 0.9331 0.5978 0.2925  3 Y 2.79

Results
As for the mass density: 3.940 Mg/m³. Its formation energy from raw total energies is -2.08 eV per atom. As for the density of states at the Fermi level: 3.43 states/eV/cell. For the total energy, the calculation gives -6.45 eV/atom.

Below is an optimized crystal structure of Fe2ReW2, with properties calculated at the PBE level.

abc: 6.8827 6.8827 2.8902
angles: 90.00 90.00 90.00
With the nearest neighbours (Å) after each atom.
Atoms (fractional coordinates):
Fe 0.1264 0.3736 0.0000  6 W 2.42-2.54, 1 Fe 2.46
Fe 0.3736 0.8736 0.0000  6 W 2.42-2.54, 1 Fe 2.46
Fe 0.6264 0.1264 0.0000  6 W 2.42-2.54, 1 Fe 2.46
Fe 0.8736 0.6264 0.0000  6 W 2.42-2.54, 1 Fe 2.46
Re 0.0000 0.0000 0.0000  4 Fe 2.71, 2 Re 2.89, 8 W 2.93
Re 0.5000 0.5000 0.0000  4 Fe 2.71, 2 Re 2.89, 8 W 2.93
W 0.1737 0.6737 0.5000  6 Fe 2.42-2.54
W 0.3263 0.1737 0.5000  6 Fe 2.42-2.54
W 0.6737 0.8263 0.5000  6 Fe 2.42-2.54
W 0.8263 0.3263 0.5000  6 Fe 2.42-2.54

Results
As for the mass density: 16.144 Mg/m³. Its formation energy from the elements is 0.2054 eV per atom. As for the density of states at the Fermi level: 13.58 states/eV/cell. For the energy above the most stable polymorph in this dataset, the calculation gives 0.0 meV per atom. For the total energy, the calculation gives -10.85 eV/atom.

Below is an optimized crystal structure of Eu2ThCd, with properties calculated at the PBE level.

abc: 3.6594 3.6594 9.7820
angles: 90.00 90.00 90.00
With the nearest neighbours (Å) after each atom.
Atoms (fractional coordinates):
Eu 0.0000 0.0000 0.2263  4 Cd 3.41, 4 Eu 3.66, 4 Th 3.72
Eu 0.0000 0.0000 0.7737  4 Cd 3.41, 4 Eu 3.66, 4 Th 3.72
Th 0.5000 0.5000 0.5000  4 Th 3.66, 8 Eu 3.72
Cd 0.5000 0.5000 0.0000  8 Eu 3.41, 4 Cd 3.66

Results
As for the mass density: 8.219 Mg/m³. Its formation energy from the elements is -0.0287 eV per atom. As for the density of states at the Fermi level: 5.26 states/eV/cell. For the energy above the most stable polymorph in this dataset, the calculation gives 0.0 meV per atom. For the total energy, the calculation gives -7.25 eV/atom.

Below is an optimized crystal structure of LiBe2Re, with properties calculated at the PBE level.

abc: 3.6290 3.6290 6.4306
angles: 90.00 90.00 90.00
With the nearest neighbours (Å) after each atom.
Atoms (fractional coordinates):
Li 0.0000 0.0000 0.0000  8 Be 2.42, 4 Re 2.57
Li 0.5000 0.5000 0.5000  8 Be 2.42, 4 Re 2.57
Be 0.0000 0.5000 0.2500  4 Li 2.42, 4 Re 2.42, 4 Be 2.57
Be 0.0000 0.5000 0.7500  4 Re 2.42, 4 Li 2.42, 4 Be 2.57
Be 0.5000 0.0000 0.2500  4 Li 2.42, 4 Re 2.42, 4 Be 2.57
Be 0.5000 0.0000 0.7500  4 Re 2.42, 4 Li 2.42, 4 Be 2.57
Re 0.0000 0.0000 0.5000  8 Be 2.42, 4 Li 2.57
Re 0.5000 0.5000 0.0000  8 Be 2.42, 4 Li 2.57

Results
As for the mass density: 8.281 Mg/m³. Its formation energy from the elements is 0.2452 eV per atom. As for the density of states at the Fermi level: 2.78 states/eV/cell. For the energy above the most stable polymorph in this dataset, the calculation gives 265.5 meV per atom. For the total energy, the calculation gives -5.21 eV/atom.

Below is an optimized crystal structure of Ta2CrPt, with properties calculated at the PBE level.

abc: 9.6356 2.7613 4.9165
angles: 90.00 100.31 90.00
With the nearest neighbours (Å) after each atom.
Atoms (fractional coordinates):
Ta 0.0000 0.0000 0.0000  3 Pt 2.71-2.82, 3 Ta 2.76-2.93, 4 Cr 2.82-2.83
Ta 0.2253 0.0000 0.6725  3 Cr 2.74-2.76, 3 Ta 2.76-2.93, 4 Pt 2.78-2.88
Ta 0.5000 0.5000 0.0000  3 Pt 2.71-2.82, 3 Ta 2.76-2.93, 4 Cr 2.82-2.83
Ta 0.7253 0.5000 0.6725  3 Cr 2.74-2.76, 3 Ta 2.76-2.93, 4 Pt 2.78-2.88
Cr 0.4780 0.0000 0.4910  7 Ta 2.74-2.83, 2 Pt 2.76, 2 Cr 2.76
Cr 0.9780 0.5000 0.4910  7 Ta 2.74-2.83, 2 Pt 2.76, 2 Cr 2.76
Pt 0.2533 0.5000 0.1941  7 Ta 2.71-2.88, 2 Cr 2.76, 2 Pt 2.76
Pt 0.7533 0.0000 0.1941  7 Ta 2.71-2.88, 2 Cr 2.76, 2 Pt 2.76

Results
As for the mass density: 15.715 Mg/m³. Its formation energy from the elements is -0.1107 eV per atom. As for the density of states at the Fermi level: 6.98 states/eV/cell. For the total energy, the calculation gives -9.95 eV/atom.

Below is an optimized crystal structure of HfNb5Ga3, with properties calculated at the PBE level.

abc: 7.3546 7.3546 9.2242
angles: 119.07 119.07 68.67
With the nearest neighbours (Å) after each atom.
Atoms (fractional coordinates):
Hf 0.1328 0.1328 0.3541  3 Ga 2.64-2.68
Hf 0.8672 0.8672 0.6459  3 Ga 2.64-2.68
Nb 0.1165 0.6603 0.2320  3 Ga 2.71-2.80, 3 Nb 2.75-2.80
Nb 0.2363 0.2363 0.0378  3 Ga 2.68-2.82, 5 Nb 2.76-2.90
Nb 0.3136 0.6864 0.0000  3 Ga 2.60-2.82, 2 Nb 2.71
Nb 0.3397 0.8835 0.7680  3 Ga 2.71-2.80, 3 Nb 2.75-2.80
Nb 0.4687 0.4687 0.7362  3 Ga 2.57-2.85, 4 Nb 2.71-2.75
Nb 0.5313 0.5313 0.2638  3 Ga 2.57-2.85, 4 Nb 2.71-2.75
Nb 0.6603 0.1165 0.2320  3 Ga 2.71-2.80, 3 Nb 2.75-2.80
Nb 0.6864 0.3136 0.0000  3 Ga 2.60-2.82, 2 Nb 2.71
Nb 0.7637 0.7637 0.9622  3 Ga 2.68-2.82, 5 Nb 2.76-2.90
Nb 0.8835 0.3397 0.7680  3 Ga 2.71-2.80, 3 Nb 2.75-2.80
Ga 0.0000 0.0000 0.0000  4 Nb 2.60-2.68, 2 Hf 2.66
Ga 0.0000 0.0000 0.5000  2 Hf 2.64, 2 Ga 2.66, 4 Nb 2.75
Ga 0.2666 0.2666 0.7573  6 Nb 2.57-2.82, 1 Ga 2.66
Ga 0.3708 0.3708 0.3964  1 Ga 2.54, 4 Nb 2.62-2.80, 1 Hf 2.68
Ga 0.6292 0.6292 0.6036  1 Ga 2.54, 4 Nb 2.62-2.80, 1 Hf 2.68
Ga 0.7334 0.7334 0.2427  6 Nb 2.57-2.82, 1 Ga 2.66

Results
As for the mass density: 7.531 Mg/m³. Its formation energy from the elements is 0.3442 eV per atom. As for the density of states at the Fermi level: 13.88 states/eV/cell. For the total energy, the calculation gives -7.36 eV/atom.